No. 1
# Pr3MnP2Rh9 PBE relaxed
# Magnetization   3.111 μB per cell
# Formation enthalpy at 0 K   -0.52 eV/atom
data_Pr3MnP2Rh9
_chemical_formula_sum 'Pr3 Mn1 P2 Rh9'
_symmetry_space_group_name_H-M 'P -3 m 1'
_symmetry_Int_Tables_number 164
_symmetry_space_group_name_Hall '-P 3 2"'
_cell_length_a 6.1002
_cell_length_b 6.1002
_cell_length_c 8.7160
_cell_angle_alpha 90.00
_cell_angle_beta 90.00
_cell_angle_gamma 120.00
loop_
_atom_site_label
_atom_site_type_symbol
_atom_site_fract_x
_atom_site_fract_y
_atom_site_fract_z
Pr1 Pr 0.0000 0.0000 0.0000
Pr2 Pr 0.3333 0.6667 0.6411
Mn1 Mn 0.0000 0.0000 0.5000
P1 P 0.3333 0.6667 0.1640
Rh1 Rh 0.0000 0.5000 0.0000
Rh2 Rh 0.1544 0.3089 0.2926



No. 2
# PrMnP2Ru PBE relaxed
# Magnetization   0.000 μB per cell
# Formation enthalpy at 0 K   -0.93 eV/atom
data_PrMnP2Ru
_chemical_formula_sum 'Pr2 Mn2 P4 Ru2'
_symmetry_space_group_name_H-M 'I -4 m 2'
_symmetry_Int_Tables_number 119
_symmetry_space_group_name_Hall 'I -4 -2'
_cell_length_a 4.031
_cell_length_b 4.031
_cell_length_c 10.066
_cell_angle_alpha 90.00
_cell_angle_beta 90.00
_cell_angle_gamma 90.00
loop_
_atom_site_label
_atom_site_type_symbol
_atom_site_fract_x
_atom_site_fract_y
_atom_site_fract_z
Pr1 Pr 0.000 0.000 0.000
Mn1 Mn 0.000 0.500 0.250
P1 P 0.000 0.000 0.359
Ru1 Ru 0.000 0.500 0.750



No. 3
# PrMnTcP2 PBE relaxed
# Magnetization   5.315 μB per cell
# Formation enthalpy at 0 K   -0.87 eV/atom
data_PrMnTcP2
_chemical_formula_sum 'Pr2 Mn2 Tc2 P4'
_symmetry_space_group_name_H-M 'I -4 m 2'
_symmetry_Int_Tables_number 119
_symmetry_space_group_name_Hall 'I -4 -2'
_cell_length_a 3.914
_cell_length_b 3.914
_cell_length_c 11.319
_cell_angle_alpha 90.00
_cell_angle_beta 90.00
_cell_angle_gamma 90.00
loop_
_atom_site_label
_atom_site_type_symbol
_atom_site_fract_x
_atom_site_fract_y
_atom_site_fract_z
Pr1 Pr 0.000 0.000 0.000
Mn1 Mn 0.000 0.500 0.750
Tc1 Tc 0.000 0.500 0.250
P1 P 0.000 0.000 0.365